1.
An optimized crystal structure of Nd2HoMg2, computed with GGA-PBE.

Computed properties:
ΔE_f in eV/f.u.: 0.189
Total energy in eV/atom: -3.4227
Total magnetic moment in μB/f.u.: 0.00

a = 5.246 Å, b = 6.036 Å, c = 6.036 Å
α = 71.61°, β = 64.24°, γ = 64.24°
Fractional positions:
Ho1 0.000 0.000 0.000
Nd1 0.195 0.305 0.305
Nd2 0.805 0.695 0.695
Mg1 0.500 0.291 0.709
Mg2 0.500 0.709 0.291


2.
An optimized crystal structure of KBaH4Pd, computed with GGA-PBE.

Computed properties:
Total energy in eV/atom: -3.4247
Total magnetic moment in μB/f.u.: 0.00

a = 5.373 Å, b = 5.182 Å, c = 8.453 Å
α = 90.00°, β = 108.53°, γ = 90.00°
Fractional positions:
Pd1 0.262 0.750 0.525
H1 0.053 0.750 0.106
K1 0.607 0.750 0.213
Ba1 0.885 0.750 0.771
H2 0.388 0.750 0.776
H3 0.947 0.250 0.894
H4 0.500 0.500 0.500
H5 0.000 0.500 0.500
Pd2 0.738 0.250 0.475
H6 0.500 0.000 0.500
H7 0.612 0.250 0.224
Ba2 0.115 0.250 0.229
K2 0.393 0.250 0.787
H8 0.000 0.000 0.500


3.
An optimized crystal structure of NaLi2H, computed with GGA-PBE.

Computed properties:
Total energy in eV/atom: -2.2132
Total magnetic moment in μB/f.u.: 0.00

a = 3.081 Å, b = 3.081 Å, c = 8.344 Å
α = 79.36°, β = 79.36°, γ = 60.00°
Fractional positions:
Li1 0.048 0.048 0.857
Li2 0.286 0.286 0.143
H1 0.666 0.666 0.001
Na1 0.500 0.500 0.499


4.
An optimized crystal structure of BeZnH, computed with GGA-PBE.

Computed properties:
Total energy in eV/atom: -2.5651
Total magnetic moment in μB/f.u.: 0.00

a = 2.325 Å, b = 4.491 Å, c = 6.995 Å
α = 90.32°, β = 80.43°, γ = 75.00°
Fractional positions:
Be1 0.285 0.672 0.758
Zn1 0.912 0.775 0.402
Be2 0.715 0.328 0.242
H1 0.312 0.263 0.112
Zn2 0.088 0.225 0.598
H2 0.688 0.737 0.888


5.
An optimized crystal structure of ScNbPd, computed with GGA-PBE.

Computed properties:
ΔE_f in eV/f.u.: -0.975
Total energy in eV/atom: -7.5231
Total magnetic moment in μB/f.u.: 0.00

a = 3.025 Å, b = 3.025 Å, c = 11.973 Å
α = 90.00°, β = 90.00°, γ = 90.00°
Fractional positions:
Nb1 0.000 0.000 0.909
Pd1 0.500 0.500 0.071
Sc1 0.500 0.500 0.730
Sc2 0.000 0.000 0.230
Pd2 0.000 0.000 0.571
Nb2 0.500 0.500 0.409


6.
An optimized crystal structure of Ac2PmP2N6, computed with GGA-PBE.

Computed properties:
Total energy in eV/atom: -7.7450
Total magnetic moment in μB/f.u.: 0.00
Uncorrected formation energy in meV per atom: -1041

a = 5.643 Å, b = 5.764 Å, c = 6.994 Å
α = 115.72°, β = 90.00°, γ = 119.31°
Fractional positions:
N1 0.772 0.544 0.639
P1 0.953 0.906 0.737
N2 0.803 0.093 0.817
N3 0.228 0.456 0.361
N4 0.710 0.907 0.183
P2 0.047 0.094 0.263
Pm1 0.500 0.000 0.500
N5 0.197 0.907 0.183
N6 0.290 0.093 0.817
Ac1 0.295 0.590 0.814
Ac2 0.705 0.410 0.186


7.
An optimized crystal structure of Ca3Zn4Ge2, computed with GGA-PBE.

Computed properties:
ΔE_f in eV/f.u.: -3.954
Total energy in eV/atom: -2.6988
Total magnetic moment in μB/f.u.: 0.00

a = 4.376 Å, b = 5.877 Å, c = 8.618 Å
α = 106.88°, β = 90.00°, γ = 111.86°
Fractional positions:
Ca1 0.000 0.000 0.000
Ge1 0.603 0.206 0.269
Zn1 0.047 0.094 0.385
Zn2 0.280 0.560 0.947
Ca2 0.328 0.655 0.338
Ca3 0.672 0.345 0.662
Ge2 0.397 0.794 0.731
Zn3 0.953 0.906 0.615
Zn4 0.720 0.440 0.053


8.
An optimized crystal structure of Ta2MnPt, computed with GGA-PBE.

Computed properties:
ΔE_f in eV/f.u.: -0.958
Total energy in eV/atom: -9.9683
Total magnetic moment in μB/f.u.: 2.07

a = 6.251 Å, b = 4.923 Å, c = 2.807 Å
α = 89.37°, β = 64.42°, γ = 120.79°
Site moments in Bohr magnetons follow the coordinates.
Fractional positions:
Mn1 0.000 0.500 0.500  2.30
Ta1 0.500 0.000 0.500  -0.11
Ta2 0.000 0.000 0.000  -0.11
Pt1 0.500 0.500 0.000  -0.03


9.
An optimized crystal structure of MgOsRu, computed with GGA-PBE.

Computed properties:
ΔE_f in eV/f.u.: 1.936
Total energy in eV/atom: -6.7215
Total magnetic moment in μB/f.u.: 0.90

a = 7.721 Å, b = 5.226 Å, c = 4.453 Å
α = 90.00°, β = 90.00°, γ = 90.00°
Site moments in Bohr magnetons follow the coordinates.
Fractional positions:
Ru1 0.000 0.500 0.000  0.73
Os1 0.833 0.250 0.500  0.16
Ru2 0.000 0.000 0.000  0.70
Os2 0.333 0.250 0.000  0.15
Ru3 0.500 0.500 0.500  0.73
Mg1 0.834 0.750 0.500  0.00
Mg2 0.166 0.250 0.500  0.00
Mg3 0.334 0.750 0.000  0.00
Mg4 0.666 0.250 0.000  0.00
Ru4 0.500 0.000 0.500  0.70
Os3 0.667 0.750 0.000  0.15
Os4 0.167 0.750 0.500  0.16


- What is the formula in the fifth record?
  ScNbPd


- Among the records above, which one has the highest total magnetic moment?
  Ta2MnPt


Please write out number 8 again, unchanged.
An optimized crystal structure of Ta2MnPt, computed with GGA-PBE.

Computed properties:
ΔE_f in eV/f.u.: -0.958
Total energy in eV/atom: -9.9683
Total magnetic moment in μB/f.u.: 2.07

a = 6.251 Å, b = 4.923 Å, c = 2.807 Å
α = 89.37°, β = 64.42°, γ = 120.79°
Site moments in Bohr magnetons follow the coordinates.
Fractional positions:
Mn1 0.000 0.500 0.500  2.30
Ta1 0.500 0.000 0.500  -0.11
Ta2 0.000 0.000 0.000  -0.11
Pt1 0.500 0.500 0.000  -0.03


Repeat the ninth record exactly.
An optimized crystal structure of MgOsRu, computed with GGA-PBE.

Computed properties:
ΔE_f in eV/f.u.: 1.936
Total energy in eV/atom: -6.7215
Total magnetic moment in μB/f.u.: 0.90

a = 7.721 Å, b = 5.226 Å, c = 4.453 Å
α = 90.00°, β = 90.00°, γ = 90.00°
Site moments in Bohr magnetons follow the coordinates.
Fractional positions:
Ru1 0.000 0.500 0.000  0.73
Os1 0.833 0.250 0.500  0.16
Ru2 0.000 0.000 0.000  0.70
Os2 0.333 0.250 0.000  0.15
Ru3 0.500 0.500 0.500  0.73
Mg1 0.834 0.750 0.500  0.00
Mg2 0.166 0.250 0.500  0.00
Mg3 0.334 0.750 0.000  0.00
Mg4 0.666 0.250 0.000  0.00
Ru4 0.500 0.000 0.500  0.70
Os3 0.667 0.750 0.000  0.15
Os4 0.167 0.750 0.500  0.16